PbBrCl | PBE | optimized geometry

Cell lengths 4.4296, 7.6769, 7.7165 Å; angles 109.01, 90.00, 90.00 degrees
Closest atoms and distances in Å follow each position.
Sites, in units of the cell vectors:
Pb  0.7500  0.2471  0.5032  3 Cl 2.92-2.95, 3 Br 3.07-3.10
Pb  0.2500  0.7529  0.4968  3 Cl 2.92-2.95, 3 Br 3.07-3.10
Br  0.7500  0.6632  0.7296  3 Pb 3.07-3.10
Br  0.2500  0.3368  0.2704  3 Pb 3.07-3.10
Cl  0.7500  0.8543  0.2963  3 Pb 2.92-2.95
Cl  0.2500  0.1457  0.7037  3 Pb 2.92-2.95

Relative energy among the computed polymorphs (meV per atom): 2
Total energy (eV/atom): -3.432
SG: P2_1/m, No. 11